[1]
Ce2HfMg: optimized geometry, PBE.

Output
V ... 310 Å³/cell
E_form ... 207 meV per atom
Space group ... R-3m (166)

```
Ce2HfMg
1.0
3.137 0.000 0.000
-1.568 2.716 0.000
0.000 0.000 36.370
Ce Hf Mg
6 3 3
Direct
0.000 0.000 0.090 Ce
0.000 0.000 0.910 Ce
0.333 0.667 0.576 Ce
0.333 0.667 0.757 Ce
0.667 0.333 0.243 Ce
0.667 0.333 0.424 Ce
0.000 0.000 0.500 Hf
0.333 0.667 0.167 Hf
0.667 0.333 0.833 Hf
0.000 0.000 0.000 Mg
0.333 0.667 0.667 Mg
0.667 0.333 0.333 Mg
```

[2]
Ba3Ga3Ag: optimized geometry, PBE.

Output
V ... 448 Å³/cell
E_form ... -305 meV per atom
Space group ... Cmcm (63)

```
Ba3Ga3Ag
1.0
2.452 -6.201 0.000
2.452 6.201 0.000
0.000 0.000 14.725
Ba Ga Ag
6 6 2
Direct
0.030 0.970 0.750 Ba
0.253 0.747 0.104 Ba
0.253 0.747 0.396 Ba
0.747 0.253 0.604 Ba
0.747 0.253 0.896 Ba
0.970 0.030 0.250 Ba
0.333 0.667 0.750 Ga
0.448 0.552 0.580 Ga
0.448 0.552 0.920 Ga
0.552 0.448 0.080 Ga
0.552 0.448 0.420 Ga
0.667 0.333 0.250 Ga
0.000 0.000 0.000 Ag
0.000 0.000 0.500 Ag
```